[1]
# K3In2Hg4 (PBE, relaxed)
data_K3In2Hg4
_chemical_formula_sum 'K3 In2 Hg4'
_symmetry_space_group_name_H-M 'P 1'
_symmetry_Int_Tables_number 1
_cell_length_a 5.259
_cell_length_b 6.855
_cell_length_c 9.957
_cell_angle_alpha 112.23
_cell_angle_beta 90.00
_cell_angle_gamma 112.56
loop_
_symmetry_equiv_pos_as_xyz
'x,y,z'
loop_
_atom_site_label
_atom_site_type_symbol
_atom_site_fract_x
_atom_site_fract_y
_atom_site_fract_z
_atom_site_occupancy
K1 K 0.630 0.260 0.690 1
K2 K 0.000 0.000 0.000 1
K3 K 0.370 0.740 0.310 1
In1 In 0.666 0.331 0.337 1
In2 In 0.334 0.669 0.663 1
Hg1 Hg 0.730 0.459 0.072 1
Hg2 Hg 0.270 0.541 0.928 1
Hg3 Hg 0.907 0.814 0.581 1
Hg4 Hg 0.093 0.186 0.419 1
# - calculated formation energy (eV per atom) = -0.209
# - E (eV for the cell shown) = -11.9
# - space group = C2/m (12)
# - N(E_F) (states/eV/f.u.) = 4.03

[2]
# Th2Pd2Au (PBE, relaxed)
data_Th2Pd2Au
_chemical_formula_sum 'Th4 Pd4 Au2'
_symmetry_space_group_name_H-M 'P 1'
_symmetry_Int_Tables_number 1
_cell_length_a 3.874
_cell_length_b 7.756
_cell_length_c 7.756
_cell_angle_alpha 90.00
_cell_angle_beta 90.00
_cell_angle_gamma 90.00
loop_
_symmetry_equiv_pos_as_xyz
'x,y,z'
loop_
_atom_site_label
_atom_site_type_symbol
_atom_site_fract_x
_atom_site_fract_y
_atom_site_fract_z
_atom_site_occupancy
Th1 Th 0.500 0.178 0.678 1
Th2 Th 0.500 0.678 0.822 1
Th3 Th 0.500 0.822 0.322 1
Th4 Th 0.500 0.322 0.178 1
Pd1 Pd 0.000 0.373 0.873 1
Pd2 Pd 0.000 0.873 0.627 1
Pd3 Pd 0.000 0.627 0.127 1
Pd4 Pd 0.000 0.127 0.373 1
Au1 Au 0.000 0.000 0.000 1
Au2 Au 0.000 0.500 0.500 1
# - calculated formation energy (eV per atom) = -0.801
# - E (eV for the cell shown) = -65.0
# - space group = P4/mbm (127)
# - N(E_F) (states/eV/f.u.) = 3.98